(1)
This record from the Alexandria database describes an optimized crystal structure of Al2Te2O7. The functional is GGA-PBE.

Properties
**Formation energy (no corrections)**: -1974 kJ/mol of formula units
**Mass density**: 4.302 Mg/m³

a b c (Å): 7.435 7.587 11.600
angles (deg): 90.00 96.40 90.00
Space group C2/c (No. 15)
Symmetry-distinct sites (fractional):
Al 0.063 0.172 0.489
Te 0.221 0.477 0.188
O 0.000 0.420 0.750
O 0.049 0.041 0.907
O 0.091 0.321 0.085
O 0.220 0.308 0.592

---

(2)
This record from the Alexandria database describes an optimized crystal structure of Al3TeO. The functional is GGA-PBE.

Properties
**Formation energy (no corrections)**: 601 kJ/mol of formula units
**Energy relative to the lowest polymorph listed for this composition**: 1493 meV per atom
**Mass density**: 2.383 Mg/m³

a b c (Å): 5.388 5.388 5.388
angles (deg): 90.00 90.00 90.00
Space group Pm-3m (No. 221)
Symmetry-distinct sites (fractional):
Al 0.000 0.000 0.500
Te 0.000 0.000 0.000
O 0.500 0.500 0.500

---

(3)
This record from the Alexandria database describes an optimized crystal structure of AlTe2O. The functional is GGA-PBE.

Properties
**Formation energy (no corrections)**: -76 kJ/mol of formula units
**Energy relative to the lowest polymorph listed for this composition**: 0 meV per atom
**Mass density**: 4.610 Mg/m³

a b c (Å): 4.2210 4.2210 20.8823
angles (deg): 90.00 90.00 120.00
Space group R-3m (No. 166, hexagonal axes)
Symmetry-distinct sites (fractional):
Al 0.0000 0.0000 0.0000
Te 0.0000 0.0000 0.4022
O 0.0000 0.0000 0.5000

---

(4)
This record from the Alexandria database describes an optimized crystal structure of AlTlTe2O8. The functional is GGA-PBE.

Properties
**Formation energy (no corrections)**: -1428 kJ/mol of formula units
**Mass density**: 4.922 Mg/m³

a b c (Å): 5.1803 5.1803 8.9218
angles (deg): 90.00 90.00 120.00
Space group P-3 (No. 147)
Symmetry-distinct sites (fractional):
Al 0.0000 0.0000 0.0000
Tl 0.0000 0.0000 0.5000
Te 0.3333 0.6667 0.1898
O 0.0174 0.3050 0.1273
O 0.3333 0.6667 0.3944

---

Look up the formation energy (no corrections) of the first one. -1974 kJ/mol of formula units

---

Which of these has the highest formation energy (no corrections)? Al3TeO

---

Look up the formation energy (no corrections) of the third one. -76 kJ/mol of formula units

---

formation energy (no corrections) of number 1 (Al2Te2O7)? -1974 kJ/mol of formula units